(1)
Material: La2MnBe
Method: DFT, GGA-PBE
State: relaxed Values from VASP.

Results
Polymorph energy (0 for the lowest one): 347.0 meV/atom
Calculated volume: 106 Å³ per cell
Calculated total energy: -5.137 eV/atom
SG: R-3m (166)
Formation energy from the elements: 0.55 eV per atom

```
&SYSTEM
  ibrav = 0, nat = 4, ntyp = 3
/
ATOMIC_SPECIES
La 138.91 La.upf
Be 9.01 Be.upf
Mn 54.94 Mn.upf
ATOMIC_POSITIONS crystal
La 0.4965 0.4965 0.4965
La 0.0035 0.0035 0.0035
Be 0.7500 0.7500 0.7500
Mn 0.2500 0.2500 0.2500
CELL_PARAMETERS angstrom
8.9858 0.0836 0.0498
8.1726 3.7363 0.0498
8.1726 1.8194 3.2638
```

---

(2)
Material: La2MnBe
Method: DFT, GGA-PBE
State: relaxed Values from VASP.

Results
Polymorph energy (0 for the lowest one): 176.1 meV/atom
Calculated volume: 86 Å³ per cell
Calculated total energy: -5.308 eV/atom
SG: F-43m (216)
Formation energy from the elements: 0.38 eV per atom

```
&SYSTEM
  ibrav = 0, nat = 4, ntyp = 3
/
ATOMIC_SPECIES
Be 9.01 Be.upf
La 138.91 La.upf
Mn 54.94 Mn.upf
ATOMIC_POSITIONS crystal
Be 0.5000 0.5000 0.5000
La 0.2500 0.2500 0.2500
La 0.0000 0.0000 0.0000
Mn 0.7500 0.7500 0.7500
CELL_PARAMETERS angstrom
-3.3524 0.8589 -3.5404
-0.5335 -3.2064 -3.7343
-4.0679 -2.8069 -0.2906
```

---

(3)
Material: LaMn2Be
Method: DFT, GGA-PBE
State: relaxed Values from VASP.

Results
Polymorph energy (0 for the lowest one): 412.4 meV/atom
Calculated volume: 70 Å³ per cell
Calculated total energy: -6.293 eV/atom
SG: Immm (71)
Formation energy from the elements: 0.46 eV per atom

```
&SYSTEM
  ibrav = 0, nat = 4, ntyp = 3
/
ATOMIC_SPECIES
Be 9.01 Be.upf
La 138.91 La.upf
Mn 54.94 Mn.upf
ATOMIC_POSITIONS crystal
Be 0.7500 0.2500 0.5000
La 0.2500 0.7500 0.5000
Mn 0.5465 0.5465 0.0000
Mn 0.9535 0.9535 0.0000
CELL_PARAMETERS angstrom
5.3714 0.4014 -0.0246
1.7890 5.0807 0.0246
-2.7657 -3.8048 2.6245
```

---

(4)
Material: LaMn2Be
Method: DFT, GGA-PBE
State: relaxed Values from VASP.

Results
Polymorph energy (0 for the lowest one): 0.0 meV/atom
Calculated volume: 69 Å³ per cell
Calculated total energy: -6.706 eV/atom
SG: R3m (160)
Formation energy from the elements: 0.04 eV per atom

```
&SYSTEM
  ibrav = 0, nat = 4, ntyp = 3
/
ATOMIC_SPECIES
Be 9.01 Be.upf
Mn 54.94 Mn.upf
La 138.91 La.upf
ATOMIC_POSITIONS crystal
Be 0.4407 0.4407 0.6776
Mn 0.7449 0.7449 0.7651
Mn 0.0610 0.0610 0.8169
La 0.2534 0.2534 0.2404
CELL_PARAMETERS angstrom
3.8733 0.0042 0.0080
1.9330 3.3566 0.0080
1.9222 1.1126 5.2880
```

---

(5)
Material: LaMn2Be
Method: DFT, GGA-PBE
State: relaxed Values from VASP.

Results
Polymorph energy (0 for the lowest one): 425.1 meV/atom
Calculated volume: 153 Å³ per cell
Calculated total energy: -6.280 eV/atom
SG: I4_1/amd (141)
Formation energy from the elements: 0.47 eV per atom

```
&SYSTEM
  ibrav = 0, nat = 8, ntyp = 3
/
ATOMIC_SPECIES
La 138.91 La.upf
Be 9.01 Be.upf
Mn 54.94 Mn.upf
ATOMIC_POSITIONS crystal
La 0.7500 0.2500 0.5000
La 0.0000 0.0000 0.0000
Be 0.2500 0.7500 0.5000
Be 0.5000 0.5000 0.0000
Mn 0.3751 0.6250 0.2500
Mn 0.3750 0.6251 0.7500
Mn 0.3749 0.1250 0.2500
Mn 0.8750 0.6249 0.7500
CELL_PARAMETERS angstrom
4.3293 0.0000 0.0000
0.0000 4.3293 0.0000
2.1647 2.1647 8.1859
```

---

(6)
Material: LaMnBe
Method: DFT, GGA-PBE
State: relaxed Values from VASP.

Results
Polymorph energy (0 for the lowest one): 915.0 meV/atom
Calculated volume: 76 Å³ per cell
Calculated total energy: -4.809 eV/atom
SG: F-43m (216)
Formation energy from the elements: 1.13 eV per atom

```
&SYSTEM
  ibrav = 0, nat = 3, ntyp = 3
/
ATOMIC_SPECIES
Mn 54.94 Mn.upf
La 138.91 La.upf
Be 9.01 Be.upf
ATOMIC_POSITIONS crystal
Mn 0.0000 0.0000 0.0000
La 0.2500 0.2500 0.2500
Be 0.5000 0.5000 0.5000
CELL_PARAMETERS angstrom
4.7623 0.0000 0.0000
2.3811 4.1243 0.0000
2.3811 1.3748 3.8884
```

---

(7)
Material: LaMn2Be
Method: DFT, GGA-PBE
State: relaxed Values from VASP.

Results
Polymorph energy (0 for the lowest one): 636.7 meV/atom
Calculated volume: 55 Å³ per cell
Calculated total energy: -6.069 eV/atom
SG: Fm-3m (225)
Formation energy from the elements: 0.68 eV per atom

```
&SYSTEM
  ibrav = 0, nat = 4, ntyp = 3
/
ATOMIC_SPECIES
Be 9.01 Be.upf
La 138.91 La.upf
Mn 54.94 Mn.upf
ATOMIC_POSITIONS crystal
Be 0.0000 0.0000 0.0000
La 0.5000 0.5000 0.5000
Mn 0.2500 0.2500 0.2500
Mn 0.7500 0.7500 0.7500
CELL_PARAMETERS angstrom
1.3251 -3.9840 0.8213
2.0874 -0.8533 3.6356
-1.9000 -2.2963 3.0691
```

---

(8)
Material: LaMn2Be
Method: DFT, GGA-PBE
State: relaxed Values from VASP.

Results
Polymorph energy (0 for the lowest one): 405.8 meV/atom
Calculated volume: 68 Å³ per cell
Calculated total energy: -6.300 eV/atom
SG: P2/m (10)
Formation energy from the elements: 0.45 eV per atom

```
&SYSTEM
  ibrav = 0, nat = 4, ntyp = 3
/
ATOMIC_SPECIES
Mn 54.94 Mn.upf
Be 9.01 Be.upf
La 138.91 La.upf
ATOMIC_POSITIONS crystal
Mn 0.0000 0.0451 0.1186
Mn 0.0000 0.4549 0.3814
Be 0.5000 0.2500 0.2500
La 0.5000 0.7500 0.7500
CELL_PARAMETERS angstrom
-1.7779 3.3658 1.5184
-2.7429 -0.6158 -1.8468
-2.6092 -2.8208 3.1978
```